# SCAN MnAu2SeF, PBEsol geometry
# Calculated volume   22.04 Å³/atom
# Symmetry   P4/mmm, No. 123
# Magnetization   4.57 μB per formula unit
# DFT total energy   -180.2 eV for the cell shown
# Formation energy from raw total energies   2 meV/atom
data_MnAu2SeF
_symmetry_space_group_name_H-M 'P 1'
_symmetry_Int_Tables_number 1
_cell_length_a 4.831
_cell_length_b 4.831
_cell_length_c 4.720
_cell_angle_alpha 90.00
_cell_angle_beta 90.00
_cell_angle_gamma 90.00
loop_
_symmetry_equiv_pos_as_xyz
'x,y,z'
loop_
_atom_site_label
_atom_site_type_symbol
_atom_site_fract_x
_atom_site_fract_y
_atom_site_fract_z
Mn1 Mn 0.000 0.000 0.500
Au1 Au 0.000 0.500 0.000
Au2 Au 0.500 0.000 0.000
Se1 Se 0.000 0.000 0.000
F1 F 0.500 0.500 0.500


# SCAN LaHgIrN2, PBEsol geometry
# Calculated volume   18.21 Å³/atom
# Symmetry   P4/mmm, No. 123
# Magnetization   2.48 μB per formula unit
# DFT total energy   -194.8 eV for the cell shown
# Formation energy from raw total energies   1236 meV/atom
data_LaHgIrN2
_symmetry_space_group_name_H-M 'P 1'
_symmetry_Int_Tables_number 1
_cell_length_a 4.214
_cell_length_b 4.214
_cell_length_c 5.130
_cell_angle_alpha 90.00
_cell_angle_beta 90.00
_cell_angle_gamma 90.00
loop_
_symmetry_equiv_pos_as_xyz
'x,y,z'
loop_
_atom_site_label
_atom_site_type_symbol
_atom_site_fract_x
_atom_site_fract_y
_atom_site_fract_z
N1 N 0.000 0.500 0.000
N2 N 0.500 0.000 0.000
Ir1 Ir 0.000 0.000 0.500
Hg1 Hg 0.000 0.000 0.000
La1 La 0.500 0.500 0.500